Ta2NiOs: optimized geometry, PBE.

Values from the calculation:
Crystal system   orthorhombic
Distance to the lowest polymorph of the same formula   23 meV per atom
Calculated formation energy   -0.23 eV per atom
Calculated total energy   -10.407 eV/atom
Symmetry   Cmmm, No. 65

The structure in POSCAR format:
```
Ta2NiOs
1.0
2.889 -3.539 0.000
2.889 3.539 0.000
0.000 0.000 3.037
Ta Ni Os
2 1 1
direct
0.000 0.500 0.000
0.500 0.000 0.000
0.000 0.000 0.500
0.500 0.500 0.500
```